1.
Entry from Alexandria: a relaxed CaCuPt4 crystal (GGA-PBEsol).

Cell lengths 5.2486, 5.2486, 5.2486 Å; angles 60.00, 60.00, 60.00 degrees
Last column: nearest neighbours and their distance in Å.
Fractional positions:
Pt1 0.3747 0.3747 0.8760  6 Pt 2.62-2.63
Pt2 0.3747 0.3747 0.3747  6 Pt 2.62-2.63
Pt3 0.8760 0.3747 0.3747  6 Pt 2.62-2.63
Pt4 0.3747 0.8760 0.3747  6 Pt 2.62-2.63
Ca1 0.7500 0.7500 0.7500  12 Pt 3.08, 4 Cu 3.21
Cu1 0.0000 0.0000 0.0000  12 Pt 3.08, 4 Ca 3.21

Values from the calculation:
Its symmetry is F-43m (216). As for the mass density: 14.36 g/cm³.

2.
Entry from Alexandria: a relaxed CaCu2Pt crystal (GGA-PBEsol).

Cell lengths 3.3296, 3.3296, 5.8910 Å; angles 90.00, 90.00, 90.00 degrees
Last column: nearest neighbours and their distance in Å.
Fractional positions:
Ca1 0.5000 0.5000 0.5000  8 Cu 2.94, 2 Pt 2.95
Cu1 0.0000 0.0000 0.2007  1 Cu 2.37, 4 Pt 2.63
Cu2 0.0000 0.0000 0.7993  1 Cu 2.37, 4 Pt 2.63
Pt1 0.5000 0.5000 0.0000  8 Cu 2.63, 2 Ca 2.95

Values from the calculation:
Its symmetry is P4/mmm (123). As for the mass density: 9.21 g/cm³.

3.
Entry from Alexandria: a relaxed CaCuPt2 crystal (GGA-PBEsol).

Cell lengths 3.9897, 3.9897, 4.9554 Å; angles 113.74, 113.74, 90.00 degrees
Last column: nearest neighbours and their distance in Å.
Fractional positions:
Pt1 0.7500 0.2500 0.5000  4 Cu 2.82, 4 Ca 2.85, 4 Pt 2.85
Pt2 0.0000 0.0000 0.0000  4 Ca 2.82, 4 Pt 2.85, 4 Cu 2.85
Ca1 0.5000 0.5000 0.0000  8 Pt 2.82-2.85, 4 Cu 2.85
Cu1 0.2500 0.7500 0.5000  8 Pt 2.82-2.85, 4 Ca 2.85

Values from the calculation:
Its symmetry is I-4m2 (119). As for the mass density: 12.64 g/cm³.

4.
Entry from Alexandria: a relaxed CaCuPt2 crystal (GGA-PBEsol).

Cell lengths 4.5320, 4.5320, 4.5320 Å; angles 60.00, 60.00, 60.00 degrees
Last column: nearest neighbours and their distance in Å.
Fractional positions:
Ca1 0.5000 0.5000 0.5000  4 Pt 2.78, 4 Cu 2.78
Pt1 0.7500 0.7500 0.7500  4 Pt 2.78, 4 Ca 2.78
Pt2 0.0000 0.0000 0.0000  4 Cu 2.78, 4 Pt 2.78
Cu1 0.2500 0.2500 0.2500  4 Ca 2.78, 4 Pt 2.78

Values from the calculation:
Its symmetry is F-43m (216). As for the mass density: 12.46 g/cm³.

| no. | DFT formation energy (meV/atom) | electronic total energy (eV/f.u.) |
| --- | --- | --- |
| 1 | -381 | -36.61 |
| 2 | -82 | -18.09 |
| 3 | -318 | -21.67 |
| 4 | -256 | -21.42 |